The following is a DFT calculation (PBE-GGA) of a relaxed structure of V2GeAs.

The value obtained for the relative energy among the computed polymorphs is 276 meV per atom. The calculation puts the formation enthalpy at 0 K at -33.1 meV per atom.

It has space group R-3m (No. 166, hexagonal axes), with a = 3.5745 Å, b = 3.5745 Å, c = 17.2518 Å, α = 90.00°, β = 90.00° and γ = 120.00°. The distinct sites, in fractional coordinates, are V at (0.0000, 0.0000, 0.2430), Ge at (0.0000, 0.0000, 0.0000) and As at (0.0000, 0.0000, 0.5000).